Here is a geometry-optimized Sc2TaW structure from the Alexandria database. Energies are from GGA-PBE.

The structure belongs to space group Cmm2 (No. 35); the cell edges are 3.429, 4.792 and 9.730 Å and the angles 90.00°, 90.00° and 90.00°. The distinct sites, in fractional coordinates, are Sc at (0.000, 0.000, 0.000), Sc at (0.000, 0.500, 0.300), Ta at (0.000, 0.000, 0.553) and W at (0.000, 0.500, 0.767).

The density of states at the Fermi level comes out at 11.1 states/eV per cell. The energy above the most stable polymorph in this dataset is 0.075 eV per atom. The calculation puts the formation enthalpy at 0 K at 0.18 eV per atom.

=====

Here is a geometry-optimized ScTaW4 structure from the Alexandria database. Energies are from GGA-PBE.

The structure belongs to space group F-43m (No. 216); the cell edges are 7.552, 7.552 and 7.552 Å and the angles 90.00°, 90.00° and 90.00°. The distinct sites, in fractional coordinates, are Sc at (0.000, 0.000, 0.000), Ta at (0.250, 0.250, 0.250) and W at (0.125, 0.125, 0.625).

The density of states at the Fermi level comes out at 11.5 states/eV per cell. The calculation puts the formation enthalpy at 0 K at -0.02 eV per atom.

=====

Here is a geometry-optimized Sc2TaW structure from the Alexandria database. Energies are from GGA-PBE.

The structure belongs to space group Cm (No. 8); the cell edges are 9.583, 2.862 and 5.689 Å and the angles 90.00°, 91.96° and 90.00°. The distinct sites, in fractional coordinates, are Sc at (0.000, 0.000, 0.000), Sc at (0.240, 0.000, 0.724), Ta at (0.245, 0.500, 0.258) and W at (0.496, 0.000, 0.476).

The density of states at the Fermi level comes out at 10.0 states/eV per cell. The energy above the most stable polymorph in this dataset is 0.167 eV per atom. The calculation puts the formation enthalpy at 0 K at 0.27 eV per atom.

=====

Among the records above, which one has the lowest formation enthalpy at 0 K?
ScTaW4

=====

Which formula does entry 1 have?
Sc2TaW

=====

Repeat the second record exactly.
Here is a geometry-optimized ScTaW4 structure from the Alexandria database. Energies are from GGA-PBE.

The structure belongs to space group F-43m (No. 216); the cell edges are 7.552, 7.552 and 7.552 Å and the angles 90.00°, 90.00° and 90.00°. The distinct sites, in fractional coordinates, are Sc at (0.000, 0.000, 0.000), Ta at (0.250, 0.250, 0.250) and W at (0.125, 0.125, 0.625).

The density of states at the Fermi level comes out at 11.5 states/eV per cell. The calculation puts the formation enthalpy at 0 K at -0.02 eV per atom.

=====

What did the third record say?
Here is a geometry-optimized Sc2TaW structure from the Alexandria database. Energies are from GGA-PBE.

The structure belongs to space group Cm (No. 8); the cell edges are 9.583, 2.862 and 5.689 Å and the angles 90.00°, 91.96° and 90.00°. The distinct sites, in fractional coordinates, are Sc at (0.000, 0.000, 0.000), Sc at (0.240, 0.000, 0.724), Ta at (0.245, 0.500, 0.258) and W at (0.496, 0.000, 0.476).

The density of states at the Fermi level comes out at 10.0 states/eV per cell. The energy above the most stable polymorph in this dataset is 0.167 eV per atom. The calculation puts the formation enthalpy at 0 K at 0.27 eV per atom.